First-principles (PBE) data for a relaxed structure of PRhCl2F, as listed in Alexandria.

Lattice parameters (Å, degrees): 4.8065 4.8065 4.4725 90.00 90.00 90.00
Sites, in units of the cell vectors:
P 0.0000 0.0000 0.0000
Rh 0.0000 0.0000 0.5000
Cl 0.0000 0.5000 0.5000
Cl 0.5000 0.0000 0.5000
F 0.5000 0.5000 0.0000

Output
- energy relative to the lowest polymorph listed for this composition (eV per atom) = 0.000
- space group = No. 123
- formation energy (no corrections) (eV/atom) = 0.082
- total magnetic moment (μB per formula unit) = 0.187
- DFT total energy (eV per atom) = -3.58

---

First-principles (PBE) data for a relaxed structure of In2CoSe, as listed in Alexandria.

Lattice parameters (Å, degrees): 5.3401 5.3401 5.3401 132.49 132.49 69.46
Sites, in units of the cell vectors:
In 0.0000 0.0000 0.0000
In 0.7500 0.2500 0.5000
Co 0.5000 0.5000 0.0000
Se 0.2500 0.7500 0.5000

Output
- space group = No. 119
- formation energy (no corrections) (eV/atom) = 0.371
- total magnetic moment (μB per formula unit) = 1.375
- DFT total energy (eV per atom) = -3.65

---

First-principles (PBE) data for a relaxed structure of AlHCl, as listed in Alexandria.

Lattice parameters (Å, degrees): 6.1039 5.2287 8.0324 90.00 109.48 90.00
Sites, in units of the cell vectors:
Al 0.9999 0.0028 0.1594
Al 0.9999 0.4972 0.6594
Al 0.0001 0.5028 0.3406
Al 0.0001 0.9972 0.8406
H 0.1510 0.7460 0.7897
H 0.1510 0.7540 0.2897
H 0.8490 0.2460 0.7103
H 0.8490 0.2540 0.2103
Cl 0.3205 0.2460 0.8300
Cl 0.3205 0.2540 0.3300
Cl 0.6795 0.7460 0.6700
Cl 0.6795 0.7540 0.1700

Output
- space group = No. 14
- total magnetic moment (μB per formula unit) = 0.000
- DFT total energy (eV per atom) = -3.56